Entry 1:
Density functional theory data (PBE) for U5C6 after structural relaxation.

Total moment: 2.399 Bohr magnetons per cell
Space group: No. 12
Uncorrected energy: -9.980 eV/atom

a b c (Å): 5.7750 5.7750 6.1471
angles (deg): 99.43 99.43 116.40
Closest atoms and distances in Å follow each position.
Positions (direct):
U (0.0000, 0.0000, 0.0000)  6 C 2.33-2.39
U (0.1815, 0.8185, 0.5000)  6 C 2.32-2.44
U (0.3628, 0.6372, 0.0000)  4 C 2.28-2.51
U (0.6372, 0.3628, 0.0000)  4 C 2.28-2.51
U (0.8185, 0.1815, 0.5000)  6 C 2.32-2.44
C (0.0142, 0.3906, 0.2177)  4 U 2.28-2.44
C (0.1877, 0.1877, 0.7233)  5 U 2.32-2.51
C (0.3906, 0.0142, 0.2177)  4 U 2.28-2.44
C (0.6094, 0.9858, 0.7823)  4 U 2.28-2.44
C (0.8123, 0.8123, 0.2767)  5 U 2.32-2.51
C (0.9858, 0.6094, 0.7823)  4 U 2.28-2.44


Entry 2:
Density functional theory data (PBE) for TaAg2Br after structural relaxation.

Total moment: 0.000 Bohr magnetons per cell
Energy relative to the elements, uncorrected: 0.212 eV per atom
Space group: No. 6
Relative energy among the computed polymorphs: 0 meV per atom

a b c (Å): 3.2376 3.2748 8.1798
angles (deg): 90.00 90.16 90.00
Closest atoms and distances in Å follow each position.
Positions (direct):
Ta (0.0000, 0.0000, 0.0000)  2 Br 2.59, 4 Ag 2.84
Ag (0.4986, 0.5000, 0.7977)  4 Ag 2.82, 4 Ta 2.84
Ag (0.9973, 0.0000, 0.5989)  4 Ag 2.82
Br (0.0025, 0.5000, 0.2458)  2 Ta 2.59


Entry 3:
Density functional theory data (PBE) for Pm6PrY2 after structural relaxation.

Total moment: 0.000 Bohr magnetons per cell
Space group: No. 72
Relative energy among the computed polymorphs: 0 meV per atom

a b c (Å): 12.0706 12.0706 12.0706
angles (deg): 152.27 131.26 57.00
Closest atoms and distances in Å follow each position.
Positions (direct):
Pm (0.0021, 0.3373, 0.6689)  4 Pm 3.32-3.62, 1 Y 3.50
Pm (0.0818, 0.0818, 0.0000)  7 Pm 3.47-3.78, 1 Pr 3.57, 6 Y 3.74-3.78
Pm (0.1684, 0.8373, 0.3352)  4 Pm 3.32-3.62, 1 Y 3.50
Pm (0.3316, 0.6669, 0.6689)  4 Pm 3.32-3.62, 1 Y 3.50
Pm (0.4182, 0.4182, 0.0000)  7 Pm 3.47-3.78, 1 Pr 3.57, 6 Y 3.74-3.78
Pm (0.4979, 0.1669, 0.3352)  4 Pm 3.32-3.62, 1 Y 3.50
Pm (0.5021, 0.8331, 0.6648)  4 Pm 3.32-3.62, 1 Y 3.50
Pm (0.5818, 0.5818, 0.0000)  7 Pm 3.47-3.78, 1 Pr 3.57, 6 Y 3.74-3.78
Pm (0.6684, 0.3331, 0.3311)  4 Pm 3.32-3.62, 1 Y 3.50
Pm (0.8316, 0.1627, 0.6648)  4 Pm 3.32-3.62, 1 Y 3.50
Pm (0.9182, 0.9182, 0.0000)  7 Pm 3.47-3.78, 1 Pr 3.57, 6 Y 3.74-3.78
Pm (0.9979, 0.6627, 0.3311)  4 Pm 3.32-3.62, 1 Y 3.50
Pr (0.2500, 0.2500, 0.0000)  14 Pm 3.57-3.80
Pr (0.7500, 0.7500, 0.0000)  14 Pm 3.57-3.80
Y (0.1670, 0.4969, 0.6639)  3 Y 3.33, 2 Pm 3.50
Y (0.3330, 0.9969, 0.3299)  3 Y 3.33, 2 Pm 3.50
Y (0.6670, 0.0031, 0.6701)  3 Y 3.33, 2 Pm 3.50
Y (0.8330, 0.5031, 0.3361)  3 Y 3.33, 2 Pm 3.50


> Which value of total moment does entry 3 give?

0.000 Bohr magnetons per cell